First-principles (meta-GGA SCAN) data for a crystal of Er2CuGe6 relaxed with PBEsol, as listed in Alexandria via LeMat-Bulk.

Mass density in g/cm³: 8.3
DFT total energy in eV/atom: -26.060

```
data_Er2CuGe6
_chemical_formula_sum 'Er4 Cu2 Ge12'
_cell_length_a 4.008
_cell_length_b 3.964
_cell_length_c 20.970
_cell_angle_alpha 90.00
_cell_angle_beta 90.00
_cell_angle_gamma 90.00
_space_group_name_H-M_alt 'A m m 2'
_space_group_IT_number 38
loop_
_space_group_symop_operation_xyz
'x,y,z'
'-x,-y,z'
'-x,y,z'
'x,-y,z'
'x,y+1/2,z+1/2'
'-x,-y+1/2,z+1/2'
'-x,y+1/2,z+1/2'
'x,-y+1/2,z+1/2'
loop_
_atom_site_label
_atom_site_fract_x
_atom_site_fract_y
_atom_site_fract_z
Er1 0.000 0.000 0.000
Er2 0.000 0.000 0.337
Cu1 0.500 0.000 0.556
Ge1 0.000 0.000 0.617
Ge2 0.000 0.000 0.735
Ge3 0.500 0.000 0.118
Ge4 0.500 0.000 0.235
Ge5 0.500 0.000 0.447
Ge6 0.500 0.000 0.873
```


First-principles (meta-GGA SCAN) data for a crystal of HoErCu2 relaxed with PBEsol, as listed in Alexandria via LeMat-Bulk.

Mass density in g/cm³: 9.9
DFT total energy in eV/atom: -32.761

```
data_HoErCu2
_chemical_formula_sum 'Ho4 Er4 Cu8'
_cell_length_a 6.759
_cell_length_b 6.759
_cell_length_c 6.759
_cell_angle_alpha 90.00
_cell_angle_beta 90.00
_cell_angle_gamma 90.00
_space_group_name_H-M_alt 'F m -3 m'
_space_group_IT_number 225
_space_group_name_Hall '-F 4 2 3'
loop_
_atom_site_label
_atom_site_fract_x
_atom_site_fract_y
_atom_site_fract_z
Ho1 0.000 0.000 0.000
Er1 0.000 0.000 0.500
Cu1 0.250 0.250 0.250
```


First-principles (meta-GGA SCAN) data for a crystal of ErInCu4 relaxed with PBEsol, as listed in Alexandria via LeMat-Bulk.

Mass density in g/cm³: 10.0
DFT total energy in eV/atom: -24.426

```
data_ErInCu4
_chemical_formula_sum 'Er4 In4 Cu16'
_cell_length_a 7.084
_cell_length_b 7.084
_cell_length_c 7.084
_cell_angle_alpha 90.00
_cell_angle_beta 90.00
_cell_angle_gamma 90.00
_space_group_name_H-M_alt 'F -4 3 m'
_space_group_IT_number 216
_space_group_name_Hall 'F -4 2 3'
loop_
_atom_site_label
_atom_site_fract_x
_atom_site_fract_y
_atom_site_fract_z
Er1 0.000 0.000 0.000
In1 0.250 0.250 0.750
Cu1 0.125 0.125 0.375
```